Record 1
VASP calculation (PBE) on a relaxed structure of Zr2SnW.

DFT total energy in eV per cell: -33.80

extended XYZ file:
```
4
Lattice="0.0000 3.4201 3.4201 3.4201 0.0000 3.4201 3.4201 3.4201 0.0000" Properties=species:S:1:pos:R:3 pbc="T T T"
Sn 3.4201 3.4201 3.4201
Zr 5.1302 5.1302 5.1302
W 1.7101 1.7101 1.7101
Zr 0.0000 0.0000 0.0000
```

Record 2
VASP calculation (PBE) on a relaxed structure of RbNa3Ag2As2.

DFT total energy in eV per cell: -22.57
Energy above the most stable polymorph in this dataset in meV per atom: 0

extended XYZ file:
```
8
Lattice="-3.1801 4.4962 -2.0573 -3.5723 -3.7061 -2.5777 -2.7806 -1.1556 5.5149" Properties=species:S:1:pos:R:3 pbc="T T T"
As -4.6060 2.4794 2.8185
Na -3.9118 3.9749 -0.2938
Na -4.0175 1.1694 -2.5420
Na -3.8076 0.3380 4.7908
Rb -3.8043 -2.4615 2.3828
As -3.1331 -1.0047 -0.6420
Ag -5.6513 -1.1377 -0.2168
Ag -3.8420 0.7394 1.0888
```

Record 3
VASP calculation (PBE) on a relaxed structure of Sr2MgTcSe6.

DFT total energy in eV per cell: -44.43
Energy above the most stable polymorph in this dataset in meV per atom: 150

extended XYZ file:
```
10
Lattice="6.7679 0.9001 -2.0476 0.3563 6.0113 3.8137 -2.0007 -6.0882 3.1206" Properties=species:S:1:pos:R:3 pbc="T T T"
Mg 0.0000 0.0000 0.0000
Se 1.8039 1.7500 0.4472
Se 1.9799 4.7170 2.3294
Tc 3.5621 3.4557 0.8830
Sr 0.9588 1.6894 3.9086
Se 4.3327 2.1565 2.8589
Sr 4.1646 -0.8662 0.9780
Se 5.3203 5.1614 1.3189
Se 5.1442 2.1944 -0.5633
Se 0.7908 -1.3333 2.0277
```

Record 4
VASP calculation (PBE) on a relaxed structure of KCo2S3.

DFT total energy in eV per cell: -62.22

extended XYZ file:
```
12
Lattice="-1.3638 -3.0879 -7.1020 0.9828 -3.1160 1.1660 -7.0229 -0.0790 5.7080" Properties=species:S:1:pos:R:3 pbc="T T T"
S -3.9086 -3.2158 -2.7190
K -5.4616 -4.7253 -0.2833
S -0.7974 -3.8252 -1.8092
Co -5.6526 -3.3896 3.4470
S -1.4064 -5.0315 -4.5192
S -3.4953 -3.0669 2.4910
Co -3.2500 -5.1958 -3.4047
S -6.6066 -2.4575 1.5812
S -5.9976 -1.2513 4.2913
Co -4.1540 -1.0869 3.1768
Co -1.7514 -2.8932 -3.6749
K -1.9424 -1.5575 0.0554
```

Record 5
VASP calculation (PBE) on a relaxed structure of Na4Zn3Ga.

DFT total energy in eV per cell: -11.77

extended XYZ file:
```
8
Lattice="4.8605 0.0000 0.0000 0.0000 4.8605 0.0000 0.0000 0.0000 6.8705" Properties=species:S:1:pos:R:3 pbc="T T T"
Ga 2.4303 2.4303 0.0000
Na 0.0000 0.0000 0.0000
Na 2.4303 2.4303 3.4353
Zn 0.0000 0.0000 3.4353
Na 2.4303 0.0000 1.7290
Zn 2.4303 0.0000 5.1652
Na 0.0000 2.4303 5.1415
Zn 0.0000 2.4303 1.7053
```

Record 6
VASP calculation (PBE) on a relaxed structure of TbMgTl.

DFT total energy in eV per cell: -9.09

extended XYZ file:
```
3
Lattice="-0.7946 -3.3741 -3.5518 -4.6395 -1.1729 -1.3153 -1.7597 1.4162 -4.4191" Properties=species:S:1:pos:R:3 pbc="T T T"
Tl 0.0000 0.0000 0.0000
Mg -1.7984 -0.7827 -2.3216
Tb -5.3953 -2.3481 -6.9647
```

Record 7
VASP calculation (PBE) on a relaxed structure of DyTlF3.

DFT total energy in eV per cell: -55.54

extended XYZ file:
```
10
Lattice="3.4632 0.0000 0.0000 0.0000 6.5096 0.0000 -1.7024 0.0000 7.3808" Properties=species:S:1:pos:R:3 pbc="T T T"
F -0.8376 1.6274 6.0810
Tl -0.8235 4.8822 3.8630
F 0.8660 2.8964 0.9423
F 0.8948 6.1513 6.4385
Dy 2.5970 1.6274 0.0898
Dy -0.8362 4.8822 7.2910
F 0.8948 3.6132 6.4385
Tl 2.5842 1.6274 3.5178
F 2.5984 4.8822 1.2998
F 0.8660 0.3584 0.9423
```

Record 8
VASP calculation (PBE) on a relaxed structure of BaBePt.

DFT total energy in eV per cell: -9.41
Energy above the most stable polymorph in this dataset in meV per atom: 554

extended XYZ file:
```
3
Lattice="0.0000 3.6237 3.6237 3.6237 0.0000 3.6237 3.6237 3.6237 0.0000" Properties=species:S:1:pos:R:3 pbc="T T T"
Ba 0.0000 0.0000 0.0000
Be 1.8118 1.8118 1.8118
Pt 5.4355 5.4355 5.4355
```

Record 9
VASP calculation (PBE) on a relaxed structure of Sr2TaBO6.

DFT total energy in eV per cell: -76.68

extended XYZ file:
```
10
Lattice="-2.5554 2.5554 4.2594 2.5554 -2.5554 4.2594 2.5554 2.5554 -4.2594" Properties=species:S:1:pos:R:3 pbc="T T T"
O 0.0000 0.0000 6.2216
Sr 0.0000 2.5554 2.1297
O 1.4182 1.4182 4.2594
O 0.0000 0.0000 2.2973
B 0.0000 0.0000 0.0000
O -1.4182 1.4182 4.2594
O 1.1372 1.1372 0.0000
O 1.4182 -1.4182 4.2594
Ta 0.0000 0.0000 4.2594
Sr 2.5554 0.0000 2.1297
```

Record 10
VASP calculation (PBE) on a relaxed structure of Mg3ReN4.

DFT total energy in eV per cell: -110.31

extended XYZ file:
```
16
Lattice="6.7113 0.0000 0.0000 0.0000 5.8125 0.0000 0.0000 0.0000 5.2983" Properties=species:S:1:pos:R:3 pbc="T T T"
Mg 5.0436 4.8396 2.6976
N 3.3557 2.0974 0.5864
N 0.0000 1.8832 0.7898
Re 3.3557 3.8881 0.0156
N 5.1542 1.0353 3.2435
N 1.5571 1.0353 3.2435
Mg 3.3557 1.9825 2.7016
N 4.9127 4.7771 0.5944
Re 0.0000 1.9244 2.6648
N 3.3557 3.9293 3.4390
Mg 1.6677 4.8396 2.6976
Mg 1.6880 0.9729 0.0485
Mg 5.0233 0.9729 0.0485
Mg 0.0000 3.8299 0.0525
N 1.7986 4.7771 0.5944
N 0.0000 3.7151 3.2355
```

Record 11
VASP calculation (PBE) on a relaxed structure of NbGaAsO.

DFT total energy in eV per cell: -52.28
Energy above the most stable polymorph in this dataset in meV per atom: 0

extended XYZ file:
```
8
Lattice="3.8790 0.0000 0.0000 0.0000 7.7631 0.0000 0.0000 0.0000 5.0622" Properties=species:S:1:pos:R:3 pbc="T T T"
Ga 1.9395 0.4918 2.3190
O 1.9395 2.7634 4.7301
Nb 0.0000 4.7879 2.1814
Nb 0.0000 2.9752 4.7125
O 1.9395 4.9997 2.1990
As 0.0000 2.1718 2.1796
Ga 1.9395 7.2713 4.8501
As 0.0000 5.5913 4.7107
```

Record 12
VASP calculation (PBE) on a relaxed structure of Dy2Er2Lu3Te2Pd2.

DFT total energy in eV per cell: -57.82
Energy above the most stable polymorph in this dataset in meV per atom: 1

extended XYZ file:
```
11
Lattice="0.5419 9.2108 1.3941 -2.7310 8.2786 3.3292 4.9772 -6.1235 5.4679" Properties=species:S:1:pos:R:3 pbc="T T T"
Lu 3.6214 -1.7558 5.2791
Te 3.7948 -4.6689 4.1690
Te -0.2761 7.7377 3.2607
Dy 3.1104 1.6493 6.0551
Dy -1.1425 10.7257 3.2349
Er -1.2590 14.2217 4.7221
Er 1.7303 -0.0055 2.9238
Pd 0.4076 3.4284 2.3411
Pd 1.7147 8.7566 7.1186
Lu 1.3930 5.6837 5.0942
Lu 0.4149 11.5859 6.2833
```